First-principles (PBE) data for a relaxed Cr2FePt crystal, as listed in the Alexandria database.

Geometry as POSCAR:
```
Cr2FePt
1.0
0.000 2.972 2.972
2.972 0.000 2.972
2.972 2.972 0.000
Cr Fe Pt
2 1 1
Direct
0.250 0.250 0.250
0.750 0.750 0.750
0.000 0.000 0.000
0.500 0.500 0.500
```

symmetry = Fm-3m
theoretical density = 11.22 g/cm³
total energy = -8.283 eV per atom